# Na12Tl6Zn

A relaxed structure of Na12Tl6Zn (GGA-PBE, the Alexandria database).

Properties
The calculation puts the energy at -1.72 eV per atom. The total magnetic moment is 0.0 μB/f.u. The formation energy from the elements comes out at -1.35 eV/f.u. The density of states at the Fermi level comes out at 10.451 states/eV/f.u. The space group is R-3, No. 148. As for the crystal system: trigonal.

Cell: 8.2558 8.2558 8.2558 Å, 88.50 88.50 88.50°
Closest atoms and distances in Å follow each position.
Fractional positions:
Na (0.0280, 0.9265, 0.3085)  4 Tl 3.32-3.46, 5 Na 3.43-3.66
Na (0.0735, 0.6915, 0.9720)  4 Tl 3.32-3.46, 5 Na 3.43-3.66
Na (0.1260, 0.4654, 0.3555)  4 Na 3.18-3.50, 4 Tl 3.32-3.51, 1 Zn 3.36
Na (0.3085, 0.0280, 0.9265)  4 Tl 3.32-3.46, 5 Na 3.43-3.66
Na (0.3555, 0.1260, 0.4654)  4 Na 3.18-3.50, 4 Tl 3.32-3.51, 1 Zn 3.36
Na (0.4654, 0.3555, 0.1260)  4 Na 3.18-3.50, 4 Tl 3.32-3.51, 1 Zn 3.36
Na (0.5346, 0.6445, 0.8740)  4 Na 3.18-3.50, 4 Tl 3.32-3.51, 1 Zn 3.36
Na (0.6445, 0.8740, 0.5346)  4 Na 3.18-3.50, 4 Tl 3.32-3.51, 1 Zn 3.36
Na (0.6915, 0.9720, 0.0735)  4 Tl 3.32-3.46, 5 Na 3.43-3.66
Na (0.8740, 0.5346, 0.6445)  4 Na 3.18-3.50, 4 Tl 3.32-3.51, 1 Zn 3.36
Na (0.9265, 0.3085, 0.0280)  4 Tl 3.32-3.46, 5 Na 3.43-3.66
Na (0.9720, 0.0735, 0.6915)  4 Tl 3.32-3.46, 5 Na 3.43-3.66
Tl (0.2349, 0.3855, 0.7473)  1 Zn 3.10, 2 Tl 3.30, 7 Na 3.32-3.46
Tl (0.2527, 0.7651, 0.6145)  1 Zn 3.10, 2 Tl 3.30, 7 Na 3.32-3.46
Tl (0.3855, 0.7473, 0.2349)  1 Zn 3.10, 2 Tl 3.30, 7 Na 3.32-3.46
Tl (0.6145, 0.2527, 0.7651)  1 Zn 3.10, 2 Tl 3.30, 7 Na 3.32-3.46
Tl (0.7473, 0.2349, 0.3855)  1 Zn 3.10, 2 Tl 3.30, 7 Na 3.32-3.46
Tl (0.7651, 0.6145, 0.2527)  1 Zn 3.10, 2 Tl 3.30, 7 Na 3.32-3.46
Zn (0.5000, 0.5000, 0.5000)  6 Tl 3.10, 6 Na 3.36